No. 1
Computed, not measured: crystalline SmGaSiPt2 at its relaxed geometry at the GGA-PBE level of DFT.

Properties
space-group type: P4/nmm
VASP energy: -6.122 eV per atom
energy relative to the lowest polymorph listed for this composition: 0.0 meV/atom
volume: 184.3 Å³ per cell

a = 4.2592 Å, b = 4.2592 Å, c = 10.1574 Å
α = 90.00°, β = 90.00°, γ = 90.00°
Closest atoms and distances in Å follow each position.
Fractional coordinates of all 10 atoms:
Sm1 0.2500 0.2500 0.2489  8 Pt 3.20-3.32, 4 Si 3.27, 4 Ga 3.31
Sm2 0.7500 0.7500 0.7511  8 Pt 3.20-3.32, 4 Si 3.27, 4 Ga 3.31
Ga1 0.2500 0.7500 0.0000  4 Pt 2.57
Ga2 0.7500 0.2500 0.0000  4 Pt 2.57
Si1 0.2500 0.2500 0.6266  5 Pt 2.35-2.49
Si2 0.7500 0.7500 0.3734  5 Pt 2.35-2.49
Pt1 0.2500 0.2500 0.8576  1 Si 2.35, 4 Ga 2.57
Pt2 0.2500 0.7500 0.5000  4 Si 2.49
Pt3 0.7500 0.2500 0.5000  4 Si 2.49
Pt4 0.7500 0.7500 0.1424  1 Si 2.35, 4 Ga 2.57

***

No. 2
Computed, not measured: crystalline SmGaSiPt2 at its relaxed geometry at the GGA-PBE level of DFT.

Properties
space-group type: P4/nmm
VASP energy: -6.073 eV per atom
energy relative to the lowest polymorph listed for this composition: 48.9 meV/atom
volume: 184.3 Å³ per cell

a = 4.2701 Å, b = 4.2701 Å, c = 10.1058 Å
α = 90.00°, β = 90.00°, γ = 90.00°
Closest atoms and distances in Å follow each position.
Fractional coordinates of all 10 atoms:
Sm1 0.2500 0.2500 0.2402  4 Si 3.23, 4 Ga 3.26, 9 Pt 3.28-3.58
Sm2 0.7500 0.7500 0.7598  4 Si 3.23, 4 Ga 3.26, 9 Pt 3.28-3.58
Ga1 0.2500 0.2500 0.6387  5 Pt 2.50-2.55
Ga2 0.7500 0.7500 0.3613  5 Pt 2.50-2.55
Si1 0.2500 0.7500 0.0000  4 Pt 2.43
Si2 0.7500 0.2500 0.0000  4 Pt 2.43
Pt1 0.2500 0.2500 0.8858  4 Si 2.43, 1 Ga 2.50
Pt2 0.2500 0.7500 0.5000  4 Ga 2.55
Pt3 0.7500 0.2500 0.5000  4 Ga 2.55
Pt4 0.7500 0.7500 0.1142  4 Si 2.43, 1 Ga 2.50

***

No. 3
Computed, not measured: crystalline YGaSiPt2 at its relaxed geometry at the GGA-PBE level of DFT.

Properties
space-group type: P4/nmm
VASP energy: -6.464 eV per atom
energy relative to the lowest polymorph listed for this composition: 0.0 meV/atom
volume: 180.0 Å³ per cell

a = 4.1714 Å, b = 4.1714 Å, c = 10.3418 Å
α = 90.00°, β = 90.00°, γ = 90.00°
Closest atoms and distances in Å follow each position.
Fractional coordinates of all 10 atoms:
Y1 0.2500 0.2500 0.2499  8 Pt 3.14-3.32, 4 Si 3.20, 4 Ga 3.32
Y2 0.7500 0.7500 0.7501  8 Pt 3.14-3.32, 4 Si 3.20, 4 Ga 3.32
Ga1 0.2500 0.7500 0.0000  4 Pt 2.57
Ga2 0.7500 0.2500 0.0000  4 Pt 2.57
Si1 0.2500 0.2500 0.6290  5 Pt 2.33-2.48
Si2 0.7500 0.7500 0.3710  5 Pt 2.33-2.48
Pt1 0.2500 0.2500 0.8542  1 Si 2.33, 4 Ga 2.57
Pt2 0.2500 0.7500 0.5000  4 Si 2.48
Pt3 0.7500 0.2500 0.5000  4 Si 2.48
Pt4 0.7500 0.7500 0.1458  1 Si 2.33, 4 Ga 2.57

***

No. 4
Computed, not measured: crystalline YGaSiPt2 at its relaxed geometry at the GGA-PBE level of DFT.

Properties
space-group type: P4/nmm
VASP energy: -6.406 eV per atom
energy relative to the lowest polymorph listed for this composition: 58.0 meV/atom
volume: 180.5 Å³ per cell

a = 4.1953 Å, b = 4.1953 Å, c = 10.2556 Å
α = 90.00°, β = 90.00°, γ = 90.00°
Closest atoms and distances in Å follow each position.
Fractional coordinates of all 10 atoms:
Y1 0.2500 0.2500 0.2413  4 Ga 3.20, 8 Pt 3.23-3.38, 4 Si 3.24
Y2 0.7500 0.7500 0.7587  4 Ga 3.20, 8 Pt 3.23-3.38, 4 Si 3.24
Ga1 0.2500 0.2500 0.6407  5 Pt 2.48-2.55
Ga2 0.7500 0.7500 0.3593  5 Pt 2.48-2.55
Si1 0.2500 0.7500 0.0000  4 Pt 2.42
Si2 0.7500 0.2500 0.0000  4 Pt 2.42
Pt1 0.2500 0.2500 0.8828  4 Si 2.42, 1 Ga 2.48
Pt2 0.2500 0.7500 0.5000  4 Ga 2.55
Pt3 0.7500 0.2500 0.5000  4 Ga 2.55
Pt4 0.7500 0.7500 0.1172  4 Si 2.42, 1 Ga 2.48

***

No. 5
Computed, not measured: crystalline Sm2Ga5Pt3 at its relaxed geometry at the GGA-PBE level of DFT.

Properties
space-group type: Ibam
VASP energy: -5.179 eV per atom
volume: 379.8 Å³ per cell

a = 8.6611 Å, b = 8.6611 Å, c = 8.6611 Å
α = 106.62°, β = 86.54°, γ = 140.74°
Closest atoms and distances in Å follow each position.
Fractional coordinates of all 20 atoms:
Sm1 0.1369 0.2257 0.3626  10 Ga 3.16-3.38, 4 Pt 3.17-3.41
Sm2 0.3631 0.7257 0.0889  10 Ga 3.16-3.38, 4 Pt 3.17-3.41
Sm3 0.6369 0.2743 0.9111  10 Ga 3.16-3.38, 4 Pt 3.17-3.41
Sm4 0.8631 0.7743 0.6374  10 Ga 3.16-3.38, 4 Pt 3.17-3.41
Ga1 0.0365 0.7500 0.2865  3 Pt 2.56-2.69, 2 Ga 2.65
Ga2 0.0998 0.6634 0.7631  3 Pt 2.47-2.56, 2 Ga 2.65
Ga3 0.2500 0.2500 0.0000  4 Pt 2.56
Ga4 0.4002 0.1634 0.5636  3 Pt 2.47-2.56, 2 Ga 2.65
Ga5 0.4635 0.7500 0.7135  3 Pt 2.56-2.69, 2 Ga 2.65
Ga6 0.5365 0.2500 0.2865  3 Pt 2.56-2.69, 2 Ga 2.65
Ga7 0.5998 0.8366 0.4364  3 Pt 2.47-2.56, 2 Ga 2.65
Ga8 0.7500 0.7500 0.0000  4 Pt 2.56
Ga9 0.9002 0.3366 0.2369  3 Pt 2.47-2.56, 2 Ga 2.65
Ga10 0.9635 0.2500 0.7135  3 Pt 2.56-2.69, 2 Ga 2.65
Pt1 0.1432 0.8962 0.0395  5 Ga 2.47-2.56
Pt2 0.2500 0.7500 0.5000  6 Ga 2.56-2.69
Pt3 0.3568 0.3962 0.7530  5 Ga 2.47-2.56
Pt4 0.6432 0.6038 0.2470  5 Ga 2.47-2.56
Pt5 0.7500 0.2500 0.5000  6 Ga 2.56-2.69
Pt6 0.8568 0.1038 0.9605  5 Ga 2.47-2.56

***

No. 6
Computed, not measured: crystalline SmGaPt at its relaxed geometry at the GGA-PBE level of DFT.

Properties
space-group type: F-43m
VASP energy: -5.148 eV per atom
volume: 67.6 Å³ per cell

a = 4.5731 Å, b = 4.5731 Å, c = 4.5731 Å
α = 60.00°, β = 60.00°, γ = 60.00°
Closest atoms and distances in Å follow each position.
Fractional coordinates of all 3 atoms:
Sm1 0.0000 0.0000 0.0000  4 Ga 2.80
Ga1 0.7500 0.7500 0.7500  4 Pt 2.80, 4 Sm 2.80
Pt1 0.5000 0.5000 0.5000  4 Ga 2.80

***

No. 7
Computed, not measured: crystalline Sm2Ga8Pt at its relaxed geometry at the GGA-PBE level of DFT.

Properties
space-group type: P4/mmm
VASP energy: -4.174 eV per atom
volume: 215.6 Å³ per cell

a = 4.3779 Å, b = 4.3779 Å, c = 11.2509 Å
α = 90.00°, β = 90.00°, γ = 90.00°
Closest atoms and distances in Å follow each position.
Fractional coordinates of all 11 atoms:
Sm1 0.0000 0.0000 0.1909  12 Ga 3.02-3.10
Sm2 0.0000 0.0000 0.8091  12 Ga 3.02-3.10
Ga1 0.0000 0.5000 0.0000  4 Sm 3.07, 8 Ga 3.07-3.10
Ga2 0.0000 0.5000 0.3756  2 Pt 2.60, 1 Ga 2.80
Ga3 0.0000 0.5000 0.6244  2 Pt 2.60, 1 Ga 2.80
Ga4 0.5000 0.0000 0.0000  4 Sm 3.07, 8 Ga 3.07-3.10
Ga5 0.5000 0.0000 0.3756  2 Pt 2.60, 1 Ga 2.80
Ga6 0.5000 0.0000 0.6244  2 Pt 2.60, 1 Ga 2.80
Ga7 0.5000 0.5000 0.1912  8 Ga 3.02-3.07, 4 Sm 3.10
Ga8 0.5000 0.5000 0.8088  8 Ga 3.02-3.07, 4 Sm 3.10
Pt1 0.0000 0.0000 0.5000  8 Ga 2.60

***

No. 8
Computed, not measured: crystalline SmGa6Pt4 at its relaxed geometry at the GGA-PBE level of DFT.

Properties
space-group type: P-6m2
VASP energy: -5.047 eV per atom
volume: 192.0 Å³ per cell

a = 7.4391 Å, b = 7.4391 Å, c = 4.0071 Å
α = 90.00°, β = 90.00°, γ = 120.00°
Closest atoms and distances in Å follow each position.
Fractional coordinates of all 11 atoms:
Sm1 0.0000 0.0000 0.0000  6 Ga 3.22, 6 Pt 3.27
Ga1 0.1957 0.3913 0.5000  4 Pt 2.55-2.68
Ga2 0.1957 0.8043 0.5000  4 Pt 2.55-2.68
Ga3 0.5329 0.0657 0.0000  5 Pt 2.57-2.64
Ga4 0.5329 0.4671 0.0000  5 Pt 2.57-2.64
Ga5 0.6087 0.8043 0.5000  4 Pt 2.55-2.68
Ga6 0.9343 0.4671 0.0000  5 Pt 2.57-2.64
Pt1 0.3333 0.6667 0.0000  9 Ga 2.57-2.68
Pt2 0.4012 0.2006 0.5000  6 Ga 2.55-2.64
Pt3 0.7994 0.2006 0.5000  6 Ga 2.55-2.64
Pt4 0.7994 0.5988 0.5000  6 Ga 2.55-2.64

***

No. 9
Computed, not measured: crystalline SmGaPt at its relaxed geometry at the GGA-PBE level of DFT.

Properties
space-group type: F-43m
VASP energy: -4.878 eV per atom
volume: 76.1 Å³ per cell

a = 4.7560 Å, b = 4.7560 Å, c = 4.7560 Å
α = 60.00°, β = 60.00°, γ = 60.00°
Closest atoms and distances in Å follow each position.
Fractional coordinates of all 3 atoms:
Sm1 0.0000 0.0000 0.0000  4 Pt 2.91, 4 Ga 2.91
Ga1 0.7500 0.7500 0.7500  4 Sm 2.91
Pt1 0.2500 0.2500 0.2500  4 Sm 2.91

***

No. 10
Computed, not measured: crystalline SmGa3Pt at its relaxed geometry at the GGA-PBE level of DFT.

Properties
space-group type: I4mm
VASP energy: -4.751 eV per atom
volume: 98.4 Å³ per cell

a = 6.1405 Å, b = 6.1405 Å, c = 6.1405 Å
α = 139.07°, β = 139.07°, γ = 59.28°
Closest atoms and distances in Å follow each position.
Fractional coordinates of all 5 atoms:
Sm1 0.0000 0.0000 0.0000  12 Ga 3.18-3.52, 4 Pt 3.38
Ga1 0.2388 0.7388 0.5000  2 Pt 2.51, 2 Ga 2.68
Ga2 0.5893 0.5893 0.0000  1 Pt 2.45, 4 Ga 2.68
Ga3 0.7388 0.2388 0.5000  2 Pt 2.51, 2 Ga 2.68
Pt1 0.3601 0.3601 0.0000  5 Ga 2.45-2.51

***

No. 11
Computed, not measured: crystalline SmGaPt at its relaxed geometry at the GGA-PBE level of DFT.

Properties
space-group type: Pnma
VASP energy: -5.667 eV per atom
volume: 246.8 Å³ per cell

a = 7.0737 Å, b = 4.4729 Å, c = 7.8009 Å
α = 90.00°, β = 90.00°, γ = 90.00°
Closest atoms and distances in Å follow each position.
Fractional coordinates of all 12 atoms:
Sm1 0.0157 0.2500 0.1983  5 Pt 2.97-3.16, 6 Ga 3.13-3.30
Sm2 0.4843 0.7500 0.6983  5 Pt 2.97-3.16, 6 Ga 3.13-3.30
Sm3 0.5157 0.2500 0.3017  5 Pt 2.97-3.16, 6 Ga 3.13-3.30
Sm4 0.9843 0.7500 0.8017  5 Pt 2.97-3.16, 6 Ga 3.13-3.30
Ga1 0.1699 0.2500 0.5746  4 Pt 2.64-2.77
Ga2 0.3301 0.7500 0.0746  4 Pt 2.64-2.77
Ga3 0.6699 0.2500 0.9254  4 Pt 2.64-2.77
Ga4 0.8301 0.7500 0.4254  4 Pt 2.64-2.77
Pt1 0.2212 0.7500 0.4021  4 Ga 2.64-2.77
Pt2 0.2788 0.2500 0.9021  4 Ga 2.64-2.77
Pt3 0.7212 0.7500 0.0979  4 Ga 2.64-2.77
Pt4 0.7788 0.2500 0.5979  4 Ga 2.64-2.77

***

No. 12
Computed, not measured: crystalline SmGaSnPt2 at its relaxed geometry at the GGA-PBE level of DFT.

Properties
space-group type: P4/nmm
VASP energy: -5.639 eV per atom
volume: 209.0 Å³ per cell

a = 4.4403 Å, b = 4.4403 Å, c = 10.5983 Å
α = 90.00°, β = 90.00°, γ = 90.00°
Closest atoms and distances in Å follow each position.
Fractional coordinates of all 10 atoms:
Sm1 0.2500 0.2500 0.2354  4 Ga 3.34, 9 Pt 3.38-3.73, 4 Sn 3.41
Sm2 0.7500 0.7500 0.7646  4 Ga 3.34, 9 Pt 3.38-3.73, 4 Sn 3.41
Ga1 0.2500 0.7500 0.0000  4 Pt 2.54
Ga2 0.7500 0.2500 0.0000  4 Pt 2.54
Sn1 0.2500 0.2500 0.6394  5 Pt 2.58-2.67
Sn2 0.7500 0.7500 0.3606  5 Pt 2.58-2.67
Pt1 0.2500 0.2500 0.8832  4 Ga 2.54, 1 Sn 2.58
Pt2 0.2500 0.7500 0.5000  4 Sn 2.67
Pt3 0.7500 0.2500 0.5000  4 Sn 2.67
Pt4 0.7500 0.7500 0.1168  4 Ga 2.54, 1 Sn 2.58